The following is a DFT calculation (PBE-GGA) of a relaxed structure of TbCdAgS3.

Structure (POSCAR):
```
TbCdAgS3
1.0
7.4346 0.0000 0.0000
0.0000 3.9522 0.0000
-1.9013 0.0000 8.9302
Tb Cd Ag S
2 2 2 6
direct
0.1985 0.2500 0.1667
0.8015 0.7500 0.8333
0.2332 0.7500 0.7104
0.7668 0.2500 0.2896
0.3767 0.7500 0.4348
0.6233 0.2500 0.5652
0.0820 0.2500 0.8576
0.1825 0.2500 0.4729
0.4489 0.7500 0.1753
0.5511 0.2500 0.8247
0.8175 0.7500 0.5271
0.9180 0.7500 0.1424
```

Total magnetic moment ... 0.03 μB/cell
V ... 262.4 Å³ per cell
Uncorrected energy ... -52.64 eV for the cell shown

---

The following is a DFT calculation (PBE-GGA) of a relaxed structure of Cd2AgSb.

Structure (POSCAR):
```
Cd2AgSb
1.0
0.0000 3.5758 3.5758
3.5758 0.0000 3.5758
3.5758 3.5758 0.0000
Cd Ag Sb
2 1 1
direct
0.0000 0.0000 0.0000
0.2500 0.2500 0.2500
0.7500 0.7500 0.7500
0.5000 0.5000 0.5000
```

V ... 91.4 Å³ per cell
Uncorrected energy ... -8.31 eV for the cell shown

---

The following is a DFT calculation (PBE-GGA) of a relaxed structure of ScCd2Ag.

Structure (POSCAR):
```
ScCd2Ag
1.0
0.0000 3.4171 3.4171
3.4171 0.0000 3.4171
3.4171 3.4171 0.0000
Sc Cd Ag
1 2 1
direct
0.0000 0.0000 0.0000
0.5000 0.5000 0.5000
0.7500 0.7500 0.7500
0.2500 0.2500 0.2500
```

Formation energy ... -0.240 eV/atom
Total magnetic moment ... 0.00 μB/cell
V ... 79.8 Å³ per cell

---

The following is a DFT calculation (PBE-GGA) of a relaxed structure of ScCd2Ag.

Structure (POSCAR):
```
ScCd2Ag
1.0
0.0000 3.4171 3.4171
3.4171 0.0000 3.4171
3.4171 3.4171 0.0000
Sc Cd Ag
1 2 1
direct
0.0000 0.0000 0.0000
0.2500 0.2500 0.2500
0.5000 0.5000 0.5000
0.7500 0.7500 0.7500
```

Formation energy ... -0.240 eV/atom
Total magnetic moment ... 0.00 μB/cell
V ... 79.8 Å³ per cell

---

The following is a DFT calculation (PBE-GGA) of a relaxed structure of Sc2TlCd3Ag2.

Structure (POSCAR):
```
Sc2TlCd3Ag2
1.0
4.9063 0.0000 0.0000
0.0000 4.9063 0.0000
0.0000 0.0000 6.8683
Sc Tl Cd Ag
2 1 3 2
direct
0.0000 0.5000 0.2486
0.5000 0.0000 0.7514
0.5000 0.5000 0.5000
0.0000 0.0000 0.0000
0.0000 0.5000 0.7616
0.5000 0.0000 0.2384
0.0000 0.0000 0.5000
0.5000 0.5000 0.0000
```

Total magnetic moment ... 0.00 μB/cell
V ... 165.3 Å³ per cell
Uncorrected energy ... -25.01 eV for the cell shown

---

The following is a DFT calculation (PBE-GGA) of a relaxed structure of Sc2TlZn2CdAg2.

Structure (POSCAR):
```
Sc2TlZn2CdAg2
1.0
4.7854 0.0000 0.0000
0.0000 4.7854 0.0000
0.0000 0.0000 6.6997
Sc Tl Zn Cd Ag
2 1 2 1 2
direct
0.0000 0.5000 0.2472
0.5000 0.0000 0.7528
0.5000 0.5000 0.5000
0.0000 0.5000 0.7625
0.5000 0.0000 0.2375
0.0000 0.0000 0.0000
0.0000 0.0000 0.5000
0.5000 0.5000 0.0000
```

Total magnetic moment ... 0.00 μB/cell
V ... 153.4 Å³ per cell
Uncorrected energy ... -25.53 eV for the cell shown

---

The following is a DFT calculation (PBE-GGA) of a relaxed structure of YScCd4Ag2.

Structure (POSCAR):
```
YScCd4Ag2
1.0
4.8984 0.0000 0.0000
0.0000 4.8984 0.0000
0.0000 0.0000 6.9332
Y Sc Cd Ag
1 1 4 2
direct
0.0000 0.0000 0.0000
0.5000 0.5000 0.5000
0.0000 0.0000 0.5000
0.0000 0.5000 0.7386
0.5000 0.0000 0.2614
0.5000 0.5000 0.0000
0.0000 0.5000 0.2600
0.5000 0.0000 0.7400
```

Formation energy ... -0.268 eV/atom
Total magnetic moment ... 0.04 μB/cell
V ... 166.4 Å³ per cell

---

The following is a DFT calculation (PBE-GGA) of a relaxed structure of CdSiAg2TeSe3.

Structure (POSCAR):
```
CdSiAg2TeSe3
1.0
4.3007 -4.2290 0.0000
4.3007 4.2290 0.0000
-4.2409 0.0000 6.1166
Cd Si Ag Te Se
1 1 2 1 3
direct
0.0000 0.0000 0.0000
0.5141 0.5141 0.0010
0.2603 0.7284 0.4812
0.7284 0.2603 0.4812
0.1540 0.1540 0.7453
0.4007 0.8414 0.2295
0.6162 0.6162 0.7723
0.8414 0.4007 0.2295
```

V ... 222.5 Å³ per cell
Uncorrected energy ... -28.07 eV for the cell shown